1.
Computed, not measured: crystalline Sr3Si2BiPt9 at its relaxed geometry at the PBE-GGA level of DFT.

Cell lengths 7.5060, 7.5060, 6.9621 Å; angles 90.00, 90.00, 120.00 degrees
Space group P-3m1 (No. 164)
Inequivalent atoms, fractional coordinates:
Sr (0.0000, 0.0000, 0.0000) (multiplicity 1)
Sr (0.3333, 0.6667, 0.6533) (multiplicity 2)
Si (0.3333, 0.6667, 0.1317) (multiplicity 2)
Bi (0.0000, 0.0000, 0.5000) (multiplicity 1)
Pt (0.0000, 0.5000, 0.0000) (multiplicity 3)
Pt (0.1789, 0.3578, 0.2985) (multiplicity 6)

Properties
Calculated total energy = -80.8 eV/f.u.

***

2.
Computed, not measured: crystalline Y5Mg3 at its relaxed geometry at the PBE-GGA level of DFT.

Cell lengths 12.721, 12.721, 5.829 Å; angles 90.00, 90.00, 90.00 degrees
Space group I4/mcm (No. 140)
Inequivalent atoms, fractional coordinates:
Y (0.000, 0.500, 0.250) (multiplicity 4)
Y (0.084, 0.224, 0.000) (multiplicity 16)
Mg (0.000, 0.000, 0.250) (multiplicity 4)
Mg (0.166, 0.334, 0.500) (multiplicity 8)

Properties
Energy of formation = 25 meV/atom
Energy relative to the lowest polymorph listed for this composition = 0.0950 eV per atom

***

3.
Computed, not measured: crystalline GaH2 at its relaxed geometry at the PBE-GGA level of DFT.

Cell lengths 2.730, 2.750, 6.124 Å; angles 88.70, 89.83, 63.19 degrees
Space group P1 (No. 1)
Inequivalent atoms, fractional coordinates:
Ga (0.000, 0.000, 0.000) (multiplicity 1)
H (0.535, 0.730, 0.563) (multiplicity 1)
H (0.535, 0.731, 0.438) (multiplicity 1)

Properties
Energy relative to the lowest polymorph listed for this composition = 0.0000 eV per atom

***

4.
Computed, not measured: crystalline Na2CuSe at its relaxed geometry at the PBE-GGA level of DFT.

Cell lengths 4.340, 4.340, 19.219 Å; angles 90.00, 90.00, 90.00 degrees
Space group I-42d (No. 122)
Inequivalent atoms, fractional coordinates:
Na (0.243, 0.250, 0.125) (multiplicity 8)
Cu (0.000, 0.000, 0.500) (multiplicity 4)
Se (0.000, 0.000, 0.000) (multiplicity 4)

Properties
Calculated total energy = -10.3 eV/f.u.

***

5.
Computed, not measured: crystalline H2S4Cl at its relaxed geometry at the PBE-GGA level of DFT.

Cell lengths 4.436, 8.366, 10.322 Å; angles 86.97, 77.77, 74.98 degrees
Space group P1 (No. 1)
Inequivalent atoms, fractional coordinates:
H (0.000, 0.000, 0.000) (multiplicity 1)
H (0.072, 0.503, 0.836) (multiplicity 1)
H (0.165, 0.304, 0.339) (multiplicity 1)
H (0.588, 0.805, 0.497) (multiplicity 1)
S (0.036, 0.838, 0.611) (multiplicity 1)
S (0.313, 0.005, 0.946) (multiplicity 1)
S (0.333, 0.506, 0.890) (multiplicity 1)
S (0.425, 0.303, 0.392) (multiplicity 1)
S (0.485, 0.989, 0.109) (multiplicity 1)
S (0.664, 0.494, 0.727) (multiplicity 1)
S (0.726, 0.336, 0.225) (multiplicity 1)
S (0.902, 0.804, 0.443) (multiplicity 1)
Cl (0.663, 0.592, 0.190) (multiplicity 1)
Cl (0.937, 0.095, 0.646) (multiplicity 1)

Properties
Calculated total energy = -24.8 eV/f.u.

***

6.
Computed, not measured: crystalline Dy5Ga2Pb2 at its relaxed geometry at the PBE-GGA level of DFT.

Cell lengths 15.653, 8.009, 7.852 Å; angles 90.00, 90.00, 90.00 degrees
Space group Cmce (No. 64)
Inequivalent atoms, fractional coordinates:
Dy (0.000, 0.000, 0.000) (multiplicity 4)
Dy (0.130, 0.178, 0.326) (multiplicity 16)
Ga (0.000, 0.120, 0.622) (multiplicity 8)
Pb (0.213, 0.000, 0.000) (multiplicity 8)

Properties
Energy of formation = -544 meV/atom